# 1
The following is a PBE calculation of a geometry-optimized AlTl3Tc structure, from the Alexandria database.

Results
The calculation puts the distance to the lowest polymorph of the same formula at 2.45 eV per formula unit.

```
data_AlTl3Tc
_chemical_formula_sum 'Al1 Tl3 Tc1'
_space_group_name_H-M_alt 'P m -3 m'
_space_group_IT_number 221
_space_group_name_Hall '-P 4 2 3'
_cell_length_a 5.313
_cell_length_b 5.313
_cell_length_c 5.313
_cell_angle_alpha 90.00
_cell_angle_beta 90.00
_cell_angle_gamma 90.00
loop_
_atom_site_label
_atom_site_type_symbol
_atom_site_fract_x
_atom_site_fract_y
_atom_site_fract_z
_atom_site_occupancy
Al1 Al 0.000 0.000 0.000 1
Tl1 Tl 0.000 0.000 0.500 1
Tc1 Tc 0.500 0.500 0.500 1
```

# 2
The following is a PBE calculation of a geometry-optimized FeTeRh structure, from the Alexandria database.

Results
The value obtained for the uncorrected formation energy is 5.6 kcal/mol of atoms. The calculation puts the distance to the lowest polymorph of the same formula at 0.72 eV per formula unit.

```
data_FeTeRh
_chemical_formula_sum 'Fe1 Te1 Rh1'
_space_group_name_H-M_alt 'P 3 m 1'
_space_group_IT_number 156
_space_group_name_Hall 'P 3 -2"'
_cell_length_a 4.2814
_cell_length_b 4.2814
_cell_length_c 3.1281
_cell_angle_alpha 90.00
_cell_angle_beta 90.00
_cell_angle_gamma 120.00
loop_
_atom_site_label
_atom_site_type_symbol
_atom_site_fract_x
_atom_site_fract_y
_atom_site_fract_z
_atom_site_occupancy
Fe1 Fe 0.0000 0.0000 0.0000 1
Te1 Te 0.3333 0.6667 0.7454 1
Rh1 Rh 0.6667 0.3333 0.4300 1
```

# 3
The following is a PBE calculation of a geometry-optimized Ba2SiPtAu6 structure, from the Alexandria database.

Results
The value obtained for the uncorrected formation energy is -12.2 kcal/mol of atoms.

```
data_Ba2SiPtAu6
_chemical_formula_sum 'Ba2 Si1 Pt1 Au6'
_space_group_name_H-M_alt 'P -1'
_space_group_IT_number 2
_space_group_name_Hall '-P 1'
_cell_length_a 6.696
_cell_length_b 6.709
_cell_length_c 7.451
_cell_angle_alpha 63.32
_cell_angle_beta 63.45
_cell_angle_gamma 60.24
loop_
_atom_site_label
_atom_site_type_symbol
_atom_site_fract_x
_atom_site_fract_y
_atom_site_fract_z
_atom_site_occupancy
Ba1 Ba 0.216 0.220 0.347 1
Si1 Si 0.000 0.000 0.000 1
Pt1 Pt 0.500 0.500 0.500 1
Au1 Au 0.247 0.243 0.824 1
Au2 Au 0.249 0.688 0.823 1
Au3 Au 0.313 0.757 0.176 1
```

# 4
The following is a PBE calculation of a geometry-optimized AcSm3Se4 structure, from the Alexandria database.

Results
The value obtained for the uncorrected formation energy is -41.8 kcal/mol of atoms. The calculation puts the distance to the lowest polymorph of the same formula at 0.00 eV per formula unit.

```
data_AcSm3Se4
_chemical_formula_sum 'Ac2 Sm6 Se8'
_space_group_name_H-M_alt 'P 63/m m c'
_space_group_IT_number 194
_space_group_name_Hall '-P 6c 2c'
_cell_length_a 4.2041
_cell_length_b 4.2041
_cell_length_c 28.4184
_cell_angle_alpha 90.00
_cell_angle_beta 90.00
_cell_angle_gamma 120.00
loop_
_atom_site_label
_atom_site_type_symbol
_atom_site_fract_x
_atom_site_fract_y
_atom_site_fract_z
_atom_site_occupancy
Ac1 Ac 0.3333 0.6667 0.2500 1
Sm1 Sm 0.0000 0.0000 0.0000 1
Sm2 Sm 0.3333 0.6667 0.6186 1
Se1 Se 0.0000 0.0000 0.1785 1
Se2 Se 0.3333 0.6667 0.0595 1
```